HfAlGe (GGA-PBE, optimized geometry); E = -0.2167 hartree per atom; space-group type = F-43m (216)
1.0
0.0000 3.2110 3.2110
3.2110 0.0000 3.2110
3.2110 3.2110 0.0000
Hf Al Ge
1 1 1
Direct
0.0000 0.0000 0.0000
0.7500 0.7500 0.7500
0.2500 0.2500 0.2500

HfAlGe2 (GGA-PBE, optimized geometry); E = -0.2028 hartree per atom; space-group type = F-43m (216)
1.0
0.0000 3.3643 3.3643
3.3643 0.0000 3.3643
3.3643 3.3643 0.0000
Hf Al Ge
1 1 2
Direct
0.0000 0.0000 0.0000
0.7500 0.7500 0.7500
0.2500 0.2500 0.2500
0.5000 0.5000 0.5000

Ho2AlGe (GGA-PBE, optimized geometry); E = -0.1863 hartree per atom; space-group type = Amm2 (38)
1.0
4.0071 0.0000 0.0000
0.0000 2.1654 5.4103
0.0000 -2.1654 5.4103
Ho Al Ge
2 1 1
Direct
0.0000 0.0000 0.0000
0.5000 0.2808 0.2808
0.5000 0.5641 0.5641
0.0000 0.7186 0.7186

Ho3Al3GeIr2 (GGA-PBE, optimized geometry); E = -0.2062 hartree per atom; space-group type = P-62m (189); excess energy over the best structure of this formula in the dataset = 403 meV/atom
1.0
7.9877 0.0000 0.0000
-3.9939 6.9176 0.0000
0.0000 0.0000 3.1579
Ho Al Ge Ir
3 3 1 2
Direct
0.0000 0.7067 0.0000
0.2933 0.2933 0.0000
0.7067 0.0000 0.0000
0.0000 0.3838 0.5000
0.3838 0.0000 0.5000
0.6162 0.6162 0.5000
0.0000 0.0000 0.5000
0.3333 0.6667 0.0000
0.6667 0.3333 0.0000

Ho3Al3GeIr2 (GGA-PBE, optimized geometry); E = -0.2210 hartree per atom; space-group type = P-62m (189); excess energy over the best structure of this formula in the dataset = 0 meV/atom
1.0
7.2402 0.0000 0.0000
-3.6201 6.2702 0.0000
0.0000 0.0000 3.9257
Ho Al Ge Ir
3 3 1 2
Direct
0.0000 0.4043 0.0000
0.4043 0.0000 0.0000
0.5957 0.5957 0.0000
0.0000 0.7289 0.5000
0.2711 0.2711 0.5000
0.7289 0.0000 0.5000
0.0000 0.0000 0.0000
0.3333 0.6667 0.5000
0.6667 0.3333 0.5000

NdHo2Al3Ge2Ir (GGA-PBE, optimized geometry); E = -0.2085 hartree per atom; space-group type = Amm2 (38)
1.0
4.2550 0.0000 0.0000
0.0000 6.1024 3.5039
0.0000 -6.1024 3.5039
Nd Ho Al Ge Ir
1 2 3 2 1
Direct
0.0000 0.0000 0.0000
0.0000 0.4139 0.8265
0.0000 0.8265 0.4139
0.5000 0.1888 0.4186
0.5000 0.4186 0.1888
0.5000 0.6426 0.6426
0.5000 0.0854 0.7431
0.5000 0.7431 0.0854
0.0000 0.4245 0.4245

La2HoAl3Ge2Pt (GGA-PBE, optimized geometry); E = -0.1987 hartree per atom; space-group type = Amm2 (38)
1.0
4.3018 0.0000 0.0000
0.0000 6.4045 3.5482
0.0000 -6.4045 3.5482
La Ho Al Ge Pt
2 1 3 2 1
Direct
0.0000 0.2083 0.7917
0.0000 0.7917 0.2083
0.0000 0.3816 0.3816
0.5000 0.0232 0.0232
0.5000 0.5648 0.7797
0.5000 0.7797 0.5648
0.5000 0.1463 0.4516
0.5000 0.4516 0.1463
0.0000 0.7909 0.7909

HoMg2Al3Ge2Pd (GGA-PBE, optimized geometry); E = -0.1558 hartree per atom; space-group type = Amm2 (38)
1.0
4.1567 0.0000 0.0000
0.0000 5.8980 3.3948
0.0000 -5.8980 3.3948
Ho Mg Al Ge Pd
1 2 3 2 1
Direct
0.0000 0.0000 0.0000
0.0000 0.4222 0.8307
0.0000 0.8307 0.4222
0.5000 0.1870 0.4245
0.5000 0.4245 0.1870
0.5000 0.6623 0.6623
0.5000 0.1003 0.7565
0.5000 0.7565 0.1003
0.0000 0.4358 0.4358

HoMg2Al3Ge2Pt (GGA-PBE, optimized geometry); E = -0.1630 hartree per atom; space-group type = Amm2 (38)
1.0
4.1468 0.0000 0.0000
0.0000 5.8931 3.3889
0.0000 -5.8931 3.3889
Ho Mg Al Ge Pt
1 2 3 2 1
Direct
0.0000 0.0000 0.0000
0.0000 0.4219 0.8303
0.0000 0.8303 0.4219
0.5000 0.1869 0.4244
0.5000 0.4244 0.1869
0.5000 0.6617 0.6617
0.5000 0.1001 0.7563
0.5000 0.7563 0.1001
0.0000 0.4350 0.4350

Ho2MgAl3Ge2Pt (GGA-PBE, optimized geometry); E = -0.1803 hartree per atom; space-group type = Amm2 (38)
1.0
4.1963 0.0000 0.0000
0.0000 5.8968 3.4637
0.0000 -5.8968 3.4637
Ho Mg Al Ge Pt
2 1 3 2 1
Direct
0.0000 0.2095 0.7905
0.0000 0.7905 0.2095
0.0000 0.3815 0.3815
0.5000 0.0210 0.0210
0.5000 0.5551 0.7932
0.5000 0.7932 0.5551
0.5000 0.1266 0.4525
0.5000 0.4525 0.1266
0.0000 0.7752 0.7752

Nd2HoAl3Ge2Pt (GGA-PBE, optimized geometry); E = -0.1976 hartree per atom; space-group type = Amm2 (38)
1.0
4.2919 0.0000 0.0000
0.0000 6.1926 3.5525
0.0000 -6.1926 3.5525
Nd Ho Al Ge Pt
2 1 3 2 1
Direct
0.0000 0.2073 0.7927
0.0000 0.7927 0.2073
0.0000 0.3788 0.3788
0.5000 0.0221 0.0221
0.5000 0.5615 0.7876
0.5000 0.7876 0.5615
0.5000 0.1347 0.4553
0.5000 0.4553 0.1347
0.0000 0.7825 0.7825

Ho3Al3Ni2Ge (GGA-PBE, optimized geometry); E = -0.1867 hartree per atom; space-group type = P-62m (189); excess energy over the best structure of this formula in the dataset = 0 meV/atom
1.0
7.1997 0.0000 0.0000
-3.5998 6.2351 0.0000
0.0000 0.0000 3.7828
Ho Al Ni Ge
3 3 2 1
Direct
0.0000 0.4052 0.0000
0.4052 0.0000 0.0000
0.5948 0.5948 0.0000
0.0000 0.7329 0.5000
0.2671 0.2671 0.5000
0.7329 0.0000 0.5000
0.3333 0.6667 0.5000
0.6667 0.3333 0.5000
0.0000 0.0000 0.0000

Ho3Al3Ni2Ge (GGA-PBE, optimized geometry); E = -0.1734 hartree per atom; space-group type = P-62m (189); excess energy over the best structure of this formula in the dataset = 361 meV/atom
1.0
7.8777 0.0000 0.0000
-3.9389 6.8223 0.0000
0.0000 0.0000 3.2439
Ho Al Ni Ge
3 3 2 1
Direct
0.0000 0.3023 0.0000
0.3023 0.0000 0.0000
0.6977 0.6977 0.0000
0.0000 0.6216 0.5000
0.3784 0.3784 0.5000
0.6216 0.0000 0.5000
0.3333 0.6667 0.0000
0.6667 0.3333 0.0000
0.0000 0.0000 0.5000

HoTm2Al3NiGe2 (GGA-PBE, optimized geometry); E = -0.1889 hartree per atom; space-group type = Amm2 (38)
1.0
4.1454 0.0000 0.0000
0.0000 5.9648 3.4419
0.0000 -5.9648 3.4419
Ho Tm Al Ni Ge
1 2 3 1 2
Direct
0.0000 0.0000 0.0000
0.0000 0.4032 0.8062
0.0000 0.8062 0.4032
0.5000 0.1739 0.4041
0.5000 0.4041 0.1739
0.5000 0.6330 0.6330
0.0000 0.4051 0.4051
0.5000 0.0705 0.7354
0.5000 0.7354 0.0705

Ho3Al3GePd2 (GGA-PBE, optimized geometry); E = -0.1908 hartree per atom; space-group type = P-62m (189); excess energy over the best structure of this formula in the dataset = 0 meV/atom
1.0
7.4193 0.0000 0.0000
-3.7097 6.4253 0.0000
0.0000 0.0000 3.8169
Ho Al Ge Pd
3 3 1 2
Direct
0.0000 0.3994 0.0000
0.3994 0.0000 0.0000
0.6006 0.6006 0.0000
0.0000 0.7373 0.5000
0.2627 0.2627 0.5000
0.7373 0.0000 0.5000
0.0000 0.0000 0.0000
0.3333 0.6667 0.5000
0.6667 0.3333 0.5000

Ho4AlGe4Pd2 (GGA-PBE, optimized geometry); E = -0.2023 hartree per atom; space-group type = C2/m (12)
1.0
7.8103 -2.1303 0.0000
7.8103 2.1303 0.0000
-2.0909 0.0000 6.7062
Ho Al Ge Pd
4 1 4 2
Direct
0.0857 0.0857 0.3776
0.1547 0.1547 0.9235
0.8453 0.8453 0.0765
0.9143 0.9143 0.6224
0.5000 0.5000 0.0000
0.3129 0.3129 0.7676
0.4397 0.4397 0.3329
0.5603 0.5603 0.6671
0.6871 0.6871 0.2324
0.2808 0.2808 0.3679
0.7192 0.7192 0.6321

Ho3Al3GePd2 (GGA-PBE, optimized geometry); E = -0.1784 hartree per atom; space-group type = P-62m (189); excess energy over the best structure of this formula in the dataset = 338 meV/atom
1.0
7.5627 0.0000 0.0000
-3.7813 6.5495 0.0000
0.0000 0.0000 3.9028
Ho Al Ge Pd
3 3 1 2
Direct
0.0000 0.7237 0.0000
0.2763 0.2763 0.0000
0.7237 0.0000 0.0000
0.0000 0.4060 0.5000
0.4060 0.0000 0.5000
0.5940 0.5940 0.5000
0.0000 0.0000 0.5000
0.3333 0.6667 0.0000
0.6667 0.3333 0.0000

PrHo2Al3Ge2Pt (GGA-PBE, optimized geometry); E = -0.1973 hartree per atom; space-group type = Amm2 (38)
1.0
4.2711 0.0000 0.0000
0.0000 6.1141 3.5320
0.0000 -6.1141 3.5320
Pr Ho Al Ge Pt
1 2 3 2 1
Direct
0.0000 0.0000 0.0000
0.0000 0.4150 0.8291
0.0000 0.8291 0.4150
0.5000 0.1865 0.4197
0.5000 0.4197 0.1865
0.5000 0.6459 0.6459
0.5000 0.0859 0.7419
0.5000 0.7419 0.0859
0.0000 0.4270 0.4270

SmHo2Al3Ge2Pt (GGA-PBE, optimized geometry); E = -0.1977 hartree per atom; space-group type = Amm2 (38)
1.0
4.2463 0.0000 0.0000
0.0000 6.0754 3.5071
0.0000 -6.0754 3.5071
Sm Ho Al Ge Pt
1 2 3 2 1
Direct
0.0000 0.0000 0.0000
0.0000 0.4140 0.8290
0.0000 0.8290 0.4140
0.5000 0.1843 0.4164
0.5000 0.4164 0.1843
0.5000 0.6477 0.6477
0.5000 0.0836 0.7427
0.5000 0.7427 0.0836
0.0000 0.4227 0.4227

HoTmAl3Ge2 (GGA-PBE, optimized geometry); E = -0.1742 hartree per atom; space-group type = Cm (8)
1.0
5.0991 -2.0269 0.0000
5.0991 2.0269 0.0000
-1.1300 0.0000 6.6230
Ho Tm Al Ge
1 1 3 2
Direct
0.0000 0.0000 0.0000
0.2318 0.2318 0.6326
0.3134 0.3134 0.1933
0.6164 0.6164 0.3172
0.9181 0.9181 0.4406
0.5153 0.5153 0.6749
0.7164 0.7164 0.9562